Record 1
TlTc2Cl | GGA-PBE | optimized geometry

Properties
SG: No. 122
V: 18.1 Å³ per atom
Raw formation energy: 4.135 eV/f.u.
Energy relative to the lowest polymorph listed for this composition: 0.923 eV/atom

abc: 7.0465 7.0465 5.7764
angles: 52.41 52.41 90.00
With the nearest neighbours (Å) after each atom.
Element x y z (fractional)
Tl (0.7500, 0.2500, 0.5000)  2 Cl 2.92, 8 Tc 3.00-3.06
Tl (0.0000, 0.0000, 0.0000)  2 Cl 2.92, 8 Tc 3.00-3.06
Tc (0.5463, 0.1250, 0.2500)  2 Cl 2.26
Tc (0.3750, 0.4537, 0.7500)  2 Cl 2.26
Tc (0.2037, 0.6250, 0.2500)  2 Cl 2.26
Tc (0.8750, 0.7963, 0.7500)  2 Cl 2.26
Cl (0.2500, 0.7500, 0.5000)  4 Tc 2.26
Cl (0.5000, 0.5000, 0.0000)  4 Tc 2.26


Record 2
Tl2TcCl | GGA-PBE | optimized geometry

Properties
SG: No. 10
V: 23.2 Å³ per atom
Raw formation energy: 1.299 eV/f.u.
Energy relative to the lowest polymorph listed for this composition: 0.108 eV/atom

abc: 3.3056 3.4032 8.2441
angles: 89.71 90.00 90.00
With the nearest neighbours (Å) after each atom.
Element x y z (fractional)
Tc (0.5000, 0.7500, 0.7500)  8 Tl 2.93
Tl (0.0000, 0.2471, 0.9580)  2 Cl 2.92, 4 Tc 2.93
Tl (0.0000, 0.2529, 0.5420)  2 Cl 2.92, 4 Tc 2.93
Cl (0.5000, 0.2500, 0.2500)  4 Tl 2.92


Record 3
Tl2TcCl | GGA-PBE | optimized geometry

Properties
SG: No. 47
V: 25.7 Å³ per atom
Raw formation energy: 2.142 eV/f.u.
Energy relative to the lowest polymorph listed for this composition: 0.319 eV/atom

abc: 3.3101 6.2417 4.9681
angles: 90.00 90.00 90.00
With the nearest neighbours (Å) after each atom.
Element x y z (fractional)
Tc (0.0000, 0.5000, 0.5000)  4 Tl 2.98, 2 Tc 3.31
Cl (0.5000, 0.0000, 0.5000)  4 Tl 2.98, 2 Cl 3.31
Tl (0.0000, 0.0000, 0.0000)  4 Cl 2.98, 2 Tl 3.31
Tl (0.5000, 0.5000, 0.0000)  4 Tc 2.98, 2 Tl 3.31